1.
Here is a geometry-optimized Al2Zn2Ag structure from Alexandria. Energies are from PBE.

Cell and atoms, written as POSCAR:
```
Al2Zn2Ag
1.0
-1.8786 1.8786 6.3130
1.8786 -1.8786 6.3130
1.8786 1.8786 -6.3130
Al Zn Ag
2 2 1
direct
0.1017 0.1017 0.0000 Al
0.8983 0.8983 0.0000 Al
0.2500 0.7500 0.5000 Zn
0.7500 0.2500 0.5000 Zn
0.5000 0.5000 0.0000 Ag
```

Results
- Offset from the most stable computed form: 171 meV per atom
- Calculated formation energy: 0.16 eV per atom
- Space group: I4/mmm
- Electronic total energy: -2.4156 eV/atom
- N(E_F): 1.39 states/eV/cell

---

2.
Here is a geometry-optimized MgZrSi2Hg structure from Alexandria. Energies are from PBE.

Cell and atoms, written as POSCAR:
```
MgZrSi2Hg
1.0
4.7430 0.0000 0.0000
0.0000 4.7430 0.0000
0.0000 0.0000 5.2956
Mg Zr Si Hg
1 1 2 1
direct
0.0000 0.0000 0.0000 Mg
0.0000 0.0000 0.5000 Zr
0.0000 0.5000 0.0000 Si
0.5000 0.0000 0.0000 Si
0.5000 0.5000 0.5000 Hg
```

Results
- Energy relative to the elements, uncorrected: 0.970 eV per atom
- Space group: P4/mmm
- Electronic total energy: -3.2879 eV/atom
- N(E_F): 3.36 states/eV/cell